# 1
Here is CaSbTe2 after structural relaxation from Alexandria via LeMat-Bulk. Energies are from GGA-PBE.

Summary:
* magnetic moment: 0.00 μB/atom
* energy relative to the elements, uncorrected: -0.43 eV/atom

Cell: 4.6760 4.6760 22.7006 Å, 90.00 90.00 120.00°
Closest atoms and distances in Å follow each position.
Space group R3m (No. 160, hexagonal axes)
One atom of each set of equivalent atoms:
Ca  0.0000  0.0000  0.0000 x3  3 Te 3.06
Sb  0.0000  0.0000  0.2244 x3  3 Te 2.98
Te  0.0000  0.0000  0.5018 x3  3 Sb 2.98
Te  0.0000  0.0000  0.7298 x3  3 Ca 3.06



# 2
Here is Ca4Sb2Te after structural relaxation from Alexandria via LeMat-Bulk. Energies are from GGA-PBE.

Summary:
* magnetic moment: 0.00 μB/atom
* energy relative to the elements, uncorrected: -1.21 eV/atom

Cell: 9.5138 9.5138 9.5159 Å, 90.00 90.00 90.00°
Closest atoms and distances in Å follow each position.
Space group I-42d (No. 122)
One atom of each set of equivalent atoms:
Ca  0.0748  0.1751  0.3080 x16  4 Sb 3.15-3.42, 2 Te 3.22-3.45
Sb  0.1315  0.2500  0.6250 x8  8 Ca 3.15-3.42
Te  0.0000  0.0000  0.0000 x4  8 Ca 3.22-3.45



# 3
Here is Ca2SbTe after structural relaxation from Alexandria via LeMat-Bulk. Energies are from GGA-PBE.

Summary:
* magnetic moment: 0.00 μB/atom
* energy relative to the elements, uncorrected: -1.11 eV/atom

Cell: 4.2640 4.2640 24.9304 Å, 90.00 90.00 120.00°
Closest atoms and distances in Å follow each position.
Space group R3m (No. 160, hexagonal axes)
One atom of each set of equivalent atoms:
Ca  0.0000  0.0000  0.0000 x3  3 Te 3.15, 3 Sb 3.26
Ca  0.0000  0.0000  0.1602 x3  3 Te 3.19, 3 Sb 3.29
Sb  0.0000  0.0000  0.5812 x3  6 Ca 3.26-3.29
Te  0.0000  0.0000  0.4124 x3  6 Ca 3.15-3.19



# 4
Here is Ca2SbTe after structural relaxation from Alexandria via LeMat-Bulk. Energies are from GGA-PBE.

Summary:
* magnetic moment: 0.00 μB/atom
* energy relative to the elements, uncorrected: -0.98 eV/atom

Cell: 7.8110 7.8110 7.8110 Å, 90.00 90.00 90.00°
Closest atoms and distances in Å follow each position.
Space group Fm-3m (No. 225)
One atom of each set of equivalent atoms:
Ca  0.2500  0.2500  0.2500 x8  4 Sb 3.38, 4 Te 3.38
Sb  0.0000  0.0000  0.0000 x4  8 Ca 3.38
Te  0.0000  0.0000  0.5000 x4  8 Ca 3.38



# 5
Here is CaSbTe2 after structural relaxation from Alexandria via LeMat-Bulk. Energies are from GGA-PBE.

Summary:
* magnetic moment: 0.00 μB/atom
* energy relative to the elements, uncorrected: -0.58 eV/atom

Cell: 6.7305 8.9532 4.4257 Å, 90.00 90.00 90.00°
Closest atoms and distances in Å follow each position.
Space group Cmmm (No. 65)
One atom of each set of equivalent atoms:
Ca  0.0000  0.0000  0.0000 x2  4 Te 3.20, 2 Sb 3.37
Sb  0.0000  0.5000  0.0000 x2  4 Te 3.09, 2 Ca 3.37
Te  0.0000  0.2589  0.5000 x4  2 Sb 3.09, 2 Ca 3.20, 2 Te 3.37



# 6
Here is CaSbTe after structural relaxation from Alexandria via LeMat-Bulk. Energies are from GGA-PBE.

Summary:
* magnetic moment: 0.00 μB/atom
* energy relative to the elements, uncorrected: -0.36 eV/atom

Cell: 3.5966 3.5966 8.8121 Å, 90.00 90.00 120.00°
Closest atoms and distances in Å follow each position.
Space group P3m1 (No. 156)
One atom of each set of equivalent atoms:
Ca  0.0000  0.0000  0.0000 x1  3 Te 3.18, 3 Sb 3.27
Sb  0.6667  0.3333  0.2862 x1  3 Ca 3.27, 6 Sb 3.60
Te  0.3333  0.6667  0.7272 x1  3 Ca 3.18